Record 1
Here is crystalline Cs2AlRuF6 at its relaxed geometry from the Alexandria database. Energies are from PBE-GGA.

Cell lengths 5.763, 5.763, 10.489 Å; angles 90.00, 90.00, 90.00 degrees
Space group I4/mmm (No. 139)
Unique sites:
Cs 0.000 0.500 0.250 (multiplicity 4)
Al 0.000 0.000 0.000 (multiplicity 2)
Ru 0.000 0.000 0.500 (multiplicity 2)
F 0.000 0.000 0.171 (multiplicity 4)
F 0.230 0.230 0.000 (multiplicity 8)

DFT total energy = -100.2 eV per cell
calculated density = 4.8 g cm⁻³

=====

Record 2
Here is crystalline Cs2AlSbF6 at its relaxed geometry from the Alexandria database. Energies are from PBE-GGA.

Cell lengths 7.061, 7.061, 8.302 Å; angles 90.00, 90.00, 90.00 degrees
Space group I4/mmm (No. 139)
Unique sites:
Cs 0.000 0.500 0.250 (multiplicity 4)
Al 0.000 0.000 0.000 (multiplicity 2)
Sb 0.000 0.000 0.500 (multiplicity 2)
F 0.000 0.000 0.232 (multiplicity 4)
F 0.181 0.181 0.000 (multiplicity 8)

DFT total energy = -95.0 eV per cell
calculated density = 4.2 g cm⁻³

=====

Record 3
Here is crystalline CsScAlF2 at its relaxed geometry from the Alexandria database. Energies are from PBE-GGA.

Cell lengths 4.421, 4.421, 5.976 Å; angles 90.00, 90.00, 90.00 degrees
Space group P4/mmm (No. 123)
Unique sites:
Cs 0.000 0.000 0.000 (multiplicity 1)
Sc 0.500 0.500 0.500 (multiplicity 1)
Al 0.500 0.500 0.000 (multiplicity 1)
F 0.000 0.500 0.500 (multiplicity 2)

DFT total energy = -22.7 eV per cell
calculated density = 3.5 g cm⁻³

=====

Record 4
Here is crystalline Cs2AlSeF6 at its relaxed geometry from the Alexandria database. Energies are from PBE-GGA.

Cell lengths 7.053, 7.053, 7.994 Å; angles 90.00, 90.00, 90.00 degrees
Space group I4/mmm (No. 139)
Unique sites:
Cs 0.000 0.500 0.250 (multiplicity 4)
Al 0.000 0.000 0.000 (multiplicity 2)
Se 0.000 0.000 0.500 (multiplicity 2)
F 0.000 0.000 0.247 (multiplicity 4)
F 0.180 0.180 0.000 (multiplicity 8)

DFT total energy = -92.4 eV per cell
calculated density = 4.1 g cm⁻³

=====

Record 5
Here is crystalline Cs2AlSiF6 at its relaxed geometry from the Alexandria database. Energies are from PBE-GGA.

Cell lengths 6.969, 6.969, 7.895 Å; angles 90.00, 90.00, 90.00 degrees
Space group I4/mmm (No. 139)
Unique sites:
Cs 0.000 0.500 0.250 (multiplicity 4)
Al 0.000 0.000 0.000 (multiplicity 2)
Si 0.000 0.000 0.500 (multiplicity 2)
F 0.000 0.000 0.248 (multiplicity 4)
F 0.183 0.183 0.000 (multiplicity 8)

DFT total energy = -96.3 eV per cell
calculated density = 3.8 g cm⁻³

=====

Record 6
Here is crystalline CsAlSn2F8 at its relaxed geometry from the Alexandria database. Energies are from PBE-GGA.

Cell lengths 5.194, 5.479, 8.113 Å; angles 84.95, 89.58, 83.98 degrees
Space group P-1 (No. 2)
Unique sites:
Cs 0.000 0.000 0.000 (multiplicity 1)
Al 0.000 0.000 0.500 (multiplicity 1)
Sn 0.476 0.466 0.295 (multiplicity 2)
F 0.152 0.790 0.356 (multiplicity 2)
F 0.194 0.245 0.413 (multiplicity 2)
F 0.252 0.901 0.659 (multiplicity 2)
F 0.297 0.393 0.082 (multiplicity 2)

DFT total energy = -61.0 eV per cell
calculated density = 4.0 g cm⁻³

=====

Record 7
Here is crystalline Cs2SrAlF6 at its relaxed geometry from the Alexandria database. Energies are from PBE-GGA.

Cell lengths 6.750, 6.750, 8.727 Å; angles 90.00, 90.00, 90.00 degrees
Space group I4/mmm (No. 139)
Unique sites:
Cs 0.000 0.500 0.250 (multiplicity 4)
Sr 0.000 0.000 0.000 (multiplicity 2)
Al 0.000 0.000 0.500 (multiplicity 2)
F 0.000 0.000 0.281 (multiplicity 4)
F 0.195 0.195 0.500 (multiplicity 8)

energy above the lowest structure with this stoichiometry = 2.52 kcal/mol of atoms
DFT total energy = -96.9 eV per cell
calculated density = 4.1 g cm⁻³

=====

Record 8
Here is crystalline Cs2SrAlF6 at its relaxed geometry from the Alexandria database. Energies are from PBE-GGA.

Cell lengths 6.7635, 6.7635, 6.4131 Å; angles 90.00, 90.00, 120.00 degrees
Space group P-3m1 (No. 164)
Unique sites:
Cs 0.3333 0.6667 0.1164 (multiplicity 2)
Sr 0.0000 0.0000 0.5000 (multiplicity 1)
Al 0.0000 0.0000 0.0000 (multiplicity 1)
F 0.1253 0.2506 0.8264 (multiplicity 6)

energy above the lowest structure with this stoichiometry = 0.00 kcal/mol of atoms
DFT total energy = -49.5 eV per cell
calculated density = 3.2 g cm⁻³

=====

Record 9
Here is crystalline CsSrAlF6 at its relaxed geometry from the Alexandria database. Energies are from PBE-GGA.

Cell lengths 7.432, 8.207, 10.373 Å; angles 90.00, 90.00, 90.00 degrees
Space group Imma (No. 74)
Unique sites:
Cs 0.000 0.250 0.100 (multiplicity 4)
Sr 0.000 0.000 0.500 (multiplicity 4)
Al 0.250 0.250 0.750 (multiplicity 4)
F 0.000 0.250 0.386 (multiplicity 4)
F 0.000 0.250 0.722 (multiplicity 4)
F 0.233 0.094 0.873 (multiplicity 16)

DFT total energy = -198.1 eV per cell
calculated density = 3.8 g cm⁻³

=====

Record 10
Here is crystalline CsSr2AlF8 at its relaxed geometry from the Alexandria database. Energies are from PBE-GGA.

Cell lengths 5.338, 5.360, 7.601 Å; angles 71.27, 85.08, 78.18 degrees
Space group P-1 (No. 2)
Unique sites:
Cs 0.000 0.000 0.000 (multiplicity 1)
Sr 0.465 0.378 0.278 (multiplicity 2)
Al 0.000 0.000 0.500 (multiplicity 1)
F 0.015 0.278 0.286 (multiplicity 2)
F 0.246 0.761 0.412 (multiplicity 2)
F 0.260 0.087 0.593 (multiplicity 2)
F 0.436 0.280 0.992 (multiplicity 2)

DFT total energy = -65.9 eV per cell
calculated density = 4.0 g cm⁻³

=====

Record 11
Here is crystalline Cs2AlTeF6 at its relaxed geometry from the Alexandria database. Energies are from PBE-GGA.

Cell lengths 7.156, 7.156, 8.227 Å; angles 90.00, 90.00, 90.00 degrees
Space group I4/mmm (No. 139)
Unique sites:
Cs 0.000 0.500 0.250 (multiplicity 4)
Al 0.000 0.000 0.000 (multiplicity 2)
Te 0.000 0.000 0.500 (multiplicity 2)
F 0.000 0.000 0.237 (multiplicity 4)
F 0.178 0.178 0.000 (multiplicity 8)

DFT total energy = -92.5 eV per cell
calculated density = 4.2 g cm⁻³

=====

Record 12
Here is crystalline Cs2TiAlF6 at its relaxed geometry from the Alexandria database. Energies are from PBE-GGA.

Cell lengths 6.291, 6.291, 9.841 Å; angles 90.00, 90.00, 90.00 degrees
Space group I4/mmm (No. 139)
Unique sites:
Cs 0.000 0.500 0.250 (multiplicity 4)
Ti 0.000 0.000 0.000 (multiplicity 2)
Al 0.000 0.000 0.500 (multiplicity 2)
F 0.000 0.000 0.197 (multiplicity 4)
F 0.230 0.230 0.000 (multiplicity 8)

DFT total energy = -103.6 eV per cell
calculated density = 3.9 g cm⁻³